Entry 1:
Density functional theory data (PBE) for crystalline Ba2CuBiO at its relaxed geometry.

Summary:
ΔE to the lowest computed polymorph in eV/atom: 1.154
Formation energy from raw total energies in eV/f.u.: -0.45

Unit cell a=6.677 b=6.677 c=4.558 alpha=90.00 beta=90.00 gamma=90.00
Space group P4/mmm (No. 123)
Asymmetric unit:
1 Ba 0.000 0.500 0.000 [2 per cell]
2 Cu 0.000 0.000 0.500 [1 per cell]
3 Bi 0.500 0.500 0.000 [1 per cell]
4 O 0.500 0.500 0.500 [1 per cell]



Entry 2:
Density functional theory data (PBE) for crystalline Ba2CuBiO5 at its relaxed geometry.

Summary:
Formation energy from raw total energies in eV/f.u.: -14.63

Unit cell a=3.602 b=15.880 c=10.762 alpha=90.00 beta=90.00 gamma=90.00
Space group Cmc2_1 (No. 36)
Asymmetric unit:
1 Ba 0.000 0.115 0.000 [4 per cell]
2 Ba 0.000 0.120 0.613 [4 per cell]
3 Cu 0.000 0.461 0.761 [4 per cell]
4 Bi 0.000 0.212 0.310 [4 per cell]
5 O 0.000 0.056 0.304 [4 per cell]
6 O 0.000 0.295 0.945 [4 per cell]
7 O 0.000 0.297 0.673 [4 per cell]
8 O 0.000 0.347 0.308 [4 per cell]
9 O 0.000 0.497 0.590 [4 per cell]



Entry 3:
Density functional theory data (PBE) for crystalline BaCu3Bi4O12 at its relaxed geometry.

Summary:
Formation energy from raw total energies in eV/f.u.: -21.45

Unit cell a=8.275 b=8.275 c=8.275 alpha=90.00 beta=90.00 gamma=90.00
Space group Im-3 (No. 204)
Asymmetric unit:
1 Ba 0.000 0.000 0.000 [2 per cell]
2 Cu 0.000 0.000 0.500 [6 per cell]
3 Bi 0.250 0.250 0.250 [8 per cell]
4 O 0.000 0.156 0.326 [24 per cell]



Entry 4:
Density functional theory data (PBE) for crystalline BaCuBiO4 at its relaxed geometry.

Summary:
Formation energy from raw total energies in eV/f.u.: -8.81

Unit cell a=5.677 b=5.786 c=7.083 alpha=90.00 beta=103.53 gamma=90.00
Space group P2_1/m (No. 11)
Asymmetric unit:
1 Ba 0.183 0.250 0.104 [2 per cell]
2 Cu 0.389 0.250 0.722 [2 per cell]
3 Bi 0.179 0.750 0.469 [2 per cell]
4 O 0.127 0.010 0.698 [4 per cell]
5 O 0.271 0.750 0.171 [2 per cell]
6 O 0.432 0.250 0.447 [2 per cell]



Entry 5:
Density functional theory data (PBE) for crystalline BaCuBiO3 at its relaxed geometry.

Summary:
Formation energy from raw total energies in eV/f.u.: -8.14

Unit cell a=7.646 b=3.548 c=7.921 alpha=90.00 beta=101.00 gamma=90.00
Space group P2_1/m (No. 11)
Asymmetric unit:
1 Ba 0.173 0.250 0.227 [2 per cell]
2 Cu 0.126 0.250 0.595 [2 per cell]
3 Bi 0.343 0.750 0.834 [2 per cell]
4 O 0.137 0.250 0.869 [2 per cell]
5 O 0.176 0.750 0.481 [2 per cell]
6 O 0.421 0.750 0.123 [2 per cell]



Entry 6:
Density functional theory data (PBE) for crystalline Ba2Cu2BiO6 at its relaxed geometry.

Summary:
Formation energy from raw total energies in eV/f.u.: -15.89

Unit cell a=6.1118 b=6.1118 c=16.8608 alpha=90.00 beta=90.00 gamma=120.00
Space group R-3m (No. 166, hexagonal axes)
Asymmetric unit:
1 Ba 0.0000 0.0000 0.2196 [6 per cell]
2 Cu 0.0000 0.0000 0.4195 [6 per cell]
3 Bi 0.0000 0.0000 0.0000 [3 per cell]
4 O 0.0198 0.5099 0.7523 [18 per cell]



Entry 7:
Density functional theory data (PBE) for crystalline BaCu2Bi2O6 at its relaxed geometry.

Summary:
Formation energy from raw total energies in eV/f.u.: -12.75

Unit cell a=6.330 b=6.435 c=6.648 alpha=91.94 beta=116.38 gamma=118.32
Space group P-1 (No. 2)
Asymmetric unit:
1 Ba 0.000 0.000 0.000 [1 per cell]
2 Cu 0.197 0.664 0.718 [2 per cell]
3 Bi 0.372 0.308 0.680 [2 per cell]
4 O 0.052 0.859 0.656 [2 per cell]
5 O 0.205 0.417 0.864 [2 per cell]
6 O 0.462 0.673 0.640 [2 per cell]



Entry 8:
Density functional theory data (PBE) for crystalline Ba4CuBi3O12 at its relaxed geometry.

Summary:
Formation energy from raw total energies in eV/f.u.: -33.49

Unit cell a=8.609 b=8.609 c=8.609 alpha=90.00 beta=90.00 gamma=90.00
Space group Im-3m (No. 229)
Asymmetric unit:
1 Ba 0.250 0.250 0.250 [8 per cell]
2 Cu 0.000 0.000 0.000 [2 per cell]
3 Bi 0.000 0.000 0.500 [6 per cell]
4 O 0.000 0.000 0.250 [12 per cell]
5 O 0.000 0.250 0.500 [12 per cell]



Entry 9:
Density functional theory data (PBE) for crystalline Ba2CuBiP at its relaxed geometry.

Summary:
Formation energy in meV per atom: -655

Unit cell a=6.409 b=6.409 c=4.259 alpha=90.00 beta=90.00 gamma=90.00
Space group P4/mmm (No. 123)
Asymmetric unit:
1 Ba 0.000 0.500 0.000 [2 per cell]
2 Cu 0.000 0.000 0.500 [1 per cell]
3 Bi 0.500 0.500 0.500 [1 per cell]
4 P 0.000 0.000 0.000 [1 per cell]



Entry 10:
Density functional theory data (PBE) for crystalline BaCuBiP at its relaxed geometry.

Summary:
Formation energy in meV per atom: -514

Unit cell a=4.346 b=4.346 c=11.513 alpha=90.00 beta=90.00 gamma=90.00
Space group P4/nmm (No. 129, origin choice 2)
Asymmetric unit:
1 Ba 0.250 0.250 0.222 [2 per cell]
2 Cu 0.250 0.750 0.000 [2 per cell]
3 Bi 0.250 0.750 0.500 [2 per cell]
4 P 0.250 0.250 0.900 [2 per cell]



Entry 11:
Density functional theory data (PBE) for crystalline BaCu2ReBi at its relaxed geometry.

Summary:
Formation energy in meV per atom: 2250

Unit cell a=5.267 b=5.267 c=6.529 alpha=90.00 beta=90.00 gamma=90.00
Space group P4/mmm (No. 123)
Asymmetric unit:
1 Ba 0.000 0.000 0.000 [1 per cell]
2 Cu 0.000 0.500 0.000 [2 per cell]
3 Re 0.500 0.500 0.500 [1 per cell]
4 Bi 0.000 0.000 0.500 [1 per cell]



Entry 12:
Density functional theory data (PBE) for crystalline Ba3Cu2BiS6 at its relaxed geometry.

Summary:
Formation energy from raw total energies in eV/f.u.: -11.66

Unit cell a=7.4242 b=7.4242 c=8.0336 alpha=90.00 beta=90.00 gamma=120.00
Space group P-3m1 (No. 164)
Asymmetric unit:
1 Ba 0.0000 0.0000 0.0000 [1 per cell]
2 Ba 0.3333 0.6667 0.6260 [2 per cell]
3 Cu 0.3333 0.6667 0.2331 [2 per cell]
4 Bi 0.0000 0.0000 0.5000 [1 per cell]
5 S 0.1671 0.3341 0.2878 [6 per cell]